DFT (PBE-GGA) results for crystalline RbUBr2F6 at its relaxed geometry.

Structure (CIF):
```
data_RbUBr2F6
_chemical_formula_sum 'Rb1 U1 Br2 F6'
_cell_length_a 7.089
_cell_length_b 7.089
_cell_length_c 7.089
_cell_angle_alpha 59.94
_cell_angle_beta 59.94
_cell_angle_gamma 59.94
_symmetry_space_group_name_H-M 'P 1'
_symmetry_Int_Tables_number 1
loop_
_symmetry_equiv_pos_as_xyz
'x,y,z'
loop_
_atom_site_label
_atom_site_type_symbol
_atom_site_fract_x
_atom_site_fract_y
_atom_site_fract_z
_atom_site_occupancy
Rb1 Rb 0.000 0.000 0.000 1
U1 U 0.500 0.500 0.500 1
Br1 Br 0.250 0.250 0.250 1
Br2 Br 0.750 0.750 0.750 1
F1 F 0.295 0.704 0.704 1
F2 F 0.296 0.296 0.705 1
F3 F 0.296 0.705 0.296 1
F4 F 0.704 0.295 0.704 1
F5 F 0.704 0.704 0.295 1
F6 F 0.705 0.296 0.296 1
```

Summary:
Total magnetic moment in μB per formula unit: 1.55
N(E_F) in states/eV per atom: 1.9108
Formation energy (no corrections) in eV per formula unit: -25.61
Total DFT energy (no corrections) in eV/atom: -5.24

DFT (PBE-GGA) results for crystalline Cr2CdRh at its relaxed geometry.

Structure (CIF):
```
data_Cr2CdRh
_chemical_formula_sum 'Cr2 Cd1 Rh1'
_cell_length_a 2.722
_cell_length_b 2.722
_cell_length_c 8.656
_cell_angle_alpha 90.00
_cell_angle_beta 90.00
_cell_angle_gamma 114.52
_symmetry_space_group_name_H-M 'P 1'
_symmetry_Int_Tables_number 1
loop_
_symmetry_equiv_pos_as_xyz
'x,y,z'
loop_
_atom_site_label
_atom_site_type_symbol
_atom_site_fract_x
_atom_site_fract_y
_atom_site_fract_z
_atom_site_occupancy
Cr1 Cr 0.000 0.000 0.000 1
Cr2 Cr 0.500 0.500 0.193 1
Cd1 Cd 0.000 0.000 0.478 1
Rh1 Rh 0.500 0.500 0.761 1
```

Summary:
ΔH_f (0 K) in eV per formula unit: 0.9
Total magnetic moment in μB per formula unit: 0.00
N(E_F) in states/eV per atom: 0.4932
Total DFT energy (no corrections) in eV/atom: -6.64

DFT (PBE-GGA) results for crystalline LiAg6Br8 at its relaxed geometry.

Structure (CIF):
```
data_LiAg6Br8
_chemical_formula_sum 'Li1 Ag6 Br8'
_cell_length_a 9.633
_cell_length_b 9.633
_cell_length_c 5.768
_cell_angle_alpha 90.00
_cell_angle_beta 90.00
_cell_angle_gamma 120.00
_symmetry_space_group_name_H-M 'P 1'
_symmetry_Int_Tables_number 1
loop_
_symmetry_equiv_pos_as_xyz
'x,y,z'
loop_
_atom_site_label
_atom_site_type_symbol
_atom_site_fract_x
_atom_site_fract_y
_atom_site_fract_z
_atom_site_occupancy
Li1 Li 0.000 0.000 0.000 1
Ag1 Ag 0.163 0.813 0.273 1
Ag2 Ag 0.187 0.350 0.273 1
Ag3 Ag 0.350 0.163 0.727 1
Ag4 Ag 0.650 0.837 0.273 1
Ag5 Ag 0.813 0.650 0.727 1
Ag6 Ag 0.837 0.187 0.727 1
Br1 Br 0.146 0.838 0.765 1
Br2 Br 0.162 0.308 0.765 1
Br3 Br 0.308 0.146 0.235 1
Br4 Br 0.333 0.667 0.257 1
Br5 Br 0.667 0.333 0.743 1
Br6 Br 0.692 0.854 0.765 1
Br7 Br 0.838 0.692 0.235 1
Br8 Br 0.854 0.162 0.235 1
```

Summary:
Total magnetic moment in μB per formula unit: 0.00
N(E_F) in states/eV per atom: 0.4883
Formation energy (no corrections) in eV per formula unit: -6.45
Total DFT energy (no corrections) in eV/atom: -2.59

DFT (PBE-GGA) results for crystalline PtCO2F at its relaxed geometry.

Structure (CIF):
```
data_PtCO2F
_chemical_formula_sum 'Pt1 C1 O2 F1'
_cell_length_a 3.720
_cell_length_b 3.720
_cell_length_c 3.403
_cell_angle_alpha 90.00
_cell_angle_beta 90.00
_cell_angle_gamma 90.00
_symmetry_space_group_name_H-M 'P 1'
_symmetry_Int_Tables_number 1
loop_
_symmetry_equiv_pos_as_xyz
'x,y,z'
loop_
_atom_site_label
_atom_site_type_symbol
_atom_site_fract_x
_atom_site_fract_y
_atom_site_fract_z
_atom_site_occupancy
Pt1 Pt 0.000 0.000 0.000 1
C1 C 0.500 0.500 0.500 1
O1 O 0.000 0.500 0.500 1
O2 O 0.500 0.000 0.500 1
F1 F 0.500 0.500 0.000 1
```

Summary:
Total magnetic moment in μB per formula unit: 0.00
N(E_F) in states/eV per atom: 0.4843
Formation energy (no corrections) in eV per formula unit: 5.59
Total DFT energy (no corrections) in eV/atom: -4.29

DFT (PBE-GGA) results for crystalline NaInSn2 at its relaxed geometry.

Structure (CIF):
```
data_NaInSn2
_chemical_formula_sum 'Na1 In1 Sn2'
_cell_length_a 9.314
_cell_length_b 9.314
_cell_length_c 9.314
_cell_angle_alpha 28.13
_cell_angle_beta 28.13
_cell_angle_gamma 28.13
_symmetry_space_group_name_H-M 'P 1'
_symmetry_Int_Tables_number 1
loop_
_symmetry_equiv_pos_as_xyz
'x,y,z'
loop_
_atom_site_label
_atom_site_type_symbol
_atom_site_fract_x
_atom_site_fract_y
_atom_site_fract_z
_atom_site_occupancy
Na1 Na 0.000 0.000 0.000 1
In1 In 0.500 0.500 0.500 1
Sn1 Sn 0.116 0.116 0.116 1
Sn2 Sn 0.884 0.884 0.884 1
```

Summary:
ΔH_f (0 K) in eV per formula unit: 0.8
Total magnetic moment in μB per formula unit: 0.00
N(E_F) in states/eV per atom: 0.3462
Total DFT energy (no corrections) in eV/atom: -2.82

DFT (PBE-GGA) results for crystalline RbIn2HgPt at its relaxed geometry.

Structure (CIF):
```
data_RbIn2HgPt
_chemical_formula_sum 'Rb1 In2 Hg1 Pt1'
_cell_length_a 5.193
_cell_length_b 5.193
_cell_length_c 6.649
_cell_angle_alpha 90.00
_cell_angle_beta 90.00
_cell_angle_gamma 90.00
_symmetry_space_group_name_H-M 'P 1'
_symmetry_Int_Tables_number 1
loop_
_symmetry_equiv_pos_as_xyz
'x,y,z'
loop_
_atom_site_label
_atom_site_type_symbol
_atom_site_fract_x
_atom_site_fract_y
_atom_site_fract_z
_atom_site_occupancy
Rb1 Rb 0.000 0.000 0.000 1
In1 In 0.000 0.500 0.500 1
In2 In 0.500 0.000 0.500 1
Hg1 Hg 0.500 0.500 0.000 1
Pt1 Pt 0.000 0.000 0.500 1
```

Summary:
Energy above the lowest structure with this stoichiometry in meV per atom: 44.5
ΔH_f (0 K) in eV per formula unit: -0.9
Total magnetic moment in μB per formula unit: 0.00
N(E_F) in states/eV per atom: 0.6622
Total DFT energy (no corrections) in eV/atom: -2.74

> The lowest N(E_F) belongs to which entry?

NaInSn2